1.
! PBE Rb2ZnOsF6, relaxed; values from VASP
! - formation energy without anion corrections (eV per atom) = -1.91
! - E (eV/atom) = -4.4795
&SYSTEM
  ibrav = 0, nat = 10, ntyp = 4
/
ATOMIC_SPECIES
Zn 65.41 Zn.upf
Os 190.23 Os.upf
Rb 85.47 Rb.upf
F 19.00 F.upf
CELL_PARAMETERS angstrom
-1.501 -2.258 5.334
4.204 -4.215 -0.601
4.169 -0.693 4.236
ATOMIC_POSITIONS crystal
Zn 0.500 0.500 0.000
Os 0.000 0.000 0.000
Rb 0.750 0.250 0.500
Rb 0.250 0.750 0.500
F 0.256 0.256 0.489
F 0.744 0.744 0.511
F 0.256 0.256 0.000
F 0.744 0.744 0.000
F 0.744 0.256 0.000
F 0.256 0.744 0.000

=====

2.
! PBE Rb2ZrOsF6, relaxed; values from VASP
! - formation energy without anion corrections (eV per atom) = -2.19
! - E (eV/atom) = -5.4821
&SYSTEM
  ibrav = 0, nat = 10, ntyp = 4
/
ATOMIC_SPECIES
Os 190.23 Os.upf
Rb 85.47 Rb.upf
Zr 91.22 Zr.upf
F 19.00 F.upf
CELL_PARAMETERS angstrom
-2.908 -5.468 -4.177
-2.967 -3.095 6.117
-6.346 -2.063 0.439
ATOMIC_POSITIONS crystal
Os 0.000 0.000 0.000
Rb 0.750 0.250 0.500
Rb 0.250 0.750 0.500
Zr 0.500 0.500 0.000
F 0.247 0.247 0.507
F 0.753 0.753 0.493
F 0.308 0.308 0.000
F 0.692 0.692 0.000
F 0.692 0.308 0.000
F 0.308 0.692 0.000